Below is a relaxed structure of TaInIrS2, with properties calculated at the PBE level.

* E_tot: -4.78 eV per atom
* magnetic moment: 0.010 μB per formula unit
* E_form (uncorrected): 1.566 eV/atom
* space-group type: P4/mmm, No. 123

Cell: 4.691 5.085 4.691 Å, 90.00 90.00 90.00°
Positions (direct):
S 0.000 0.000 0.500
S 0.500 0.000 0.000
In 0.000 0.000 0.000
Ta 0.500 0.500 0.500
Ir 0.000 0.500 0.000